! HoThGaGe (PBE, relaxed); values from VASP
&SYSTEM
  ibrav = 0, nat = 4, ntyp = 4
/
ATOMIC_SPECIES
Ho 164.93 Ho.upf
Th 232.04 Th.upf
Ga 69.72 Ga.upf
Ge 72.64 Ge.upf
CELL_PARAMETERS angstrom
4.375 0.000 0.000
0.000 4.068 0.000
-2.188 0.000 5.496
ATOMIC_POSITIONS angstrom
Ho 2.188 2.034 3.966
Th 0.000 0.000 1.556
Ga 2.188 2.034 0.849
Ge 0.000 0.000 4.622
! Space group: Amm2, No. 38
! ΔH_f (0 K): -0.69 eV/atom